No. 1
This record from Alexandria describes a geometry-optimized B3PPd structure. The functional is PBE.

Crystal system: cubic
Total energy, eV/atom: -4.748
Energy of formation from the pure elements, eV/atom: 1.379
Excess energy over the best structure of this formula in the dataset, eV per formula unit: 0.00
Space group: Pm-3m
N(E_F), states/eV per atom: 0.5009

Lattice parameters (Å, degrees): 3.8696 3.8696 3.8696 90.00 90.00 90.00
Element x y z (fractional)
B (0.0000, 0.0000, 0.5000)
B (0.0000, 0.5000, 0.0000)
B (0.5000, 0.0000, 0.0000)
P (0.0000, 0.0000, 0.0000)
Pd (0.5000, 0.5000, 0.5000)

=====

No. 2
This record from Alexandria describes a geometry-optimized BAsRuSe2 structure. The functional is PBE.

Crystal system: tetragonal
Total energy, eV/atom: -4.583
Excess energy over the best structure of this formula in the dataset, eV per formula unit: 0.00
Space group: P4/mmm
N(E_F), states/eV per atom: 0.5590

Lattice parameters (Å, degrees): 4.3754 4.3754 4.1941 90.00 90.00 90.00
Element x y z (fractional)
B (0.0000, 0.0000, 0.0000)
As (0.0000, 0.0000, 0.5000)
Ru (0.5000, 0.5000, 0.5000)
Se (0.0000, 0.5000, 0.0000)
Se (0.5000, 0.0000, 0.0000)

=====

No. 3
This record from Alexandria describes a geometry-optimized RhCN3 structure. The functional is PBE.

Crystal system: cubic
Total energy, eV/atom: -5.971
Space group: Pm-3m
N(E_F), states/eV per atom: 0.3350

Lattice parameters (Å, degrees): 3.3557 3.3557 3.3557 90.00 90.00 90.00
Element x y z (fractional)
Rh (0.0000, 0.0000, 0.0000)
C (0.5000, 0.5000, 0.5000)
N (0.0000, 0.5000, 0.5000)
N (0.5000, 0.0000, 0.5000)
N (0.5000, 0.5000, 0.0000)